Entry 1:
BaRh2W, PBEsol geometry, DFT SCAN; crystal system = tetragonal; formation energy from the elements = 0.1280 eV per atom; uncorrected energy = -44.07 eV per atom; offset from the most stable computed form = 48 meV/atom; size of the total moment = 0.000 μB per formula unit; space group = P4/mmm (123)
1.0
3.1487 0.0000 0.0000
0.0000 3.1487 0.0000
0.0000 0.0000 7.9192
Ba Rh W
1 2 1
Cartesian
0.0000 0.0000 0.0000 Ba
1.5744 1.5744 2.5682 Rh
1.5744 1.5744 5.3510 Rh
0.0000 0.0000 3.9596 W

=====

Entry 2:
HfTc3Ge, PBEsol geometry, DFT SCAN; crystal system = cubic; formation energy from the elements = 1.9018 eV per atom; uncorrected energy = -35.49 eV per atom; size of the total moment = 3.517 μB per formula unit; space group = Pm-3m (221)
1.0
4.6813 0.0000 0.0000
0.0000 4.6813 0.0000
0.0000 0.0000 4.6813
Hf Tc Ge
1 3 1
Cartesian
0.0000 0.0000 0.0000 Hf
0.0000 0.0000 2.3406 Tc
0.0000 2.3406 0.0000 Tc
2.3406 0.0000 0.0000 Tc
2.3406 2.3406 2.3406 Ge

=====

Entry 3:
BiP2CCl, PBEsol geometry, DFT SCAN; crystal system = tetragonal; uncorrected energy = -22.32 eV per atom; size of the total moment = 0.000 μB per formula unit; energy relative to the elements, uncorrected = 1.1717 eV/atom; space group = P4/mmm (123)
1.0
4.1980 0.0000 0.0000
0.0000 4.1980 0.0000
0.0000 0.0000 4.5942
Bi P C Cl
1 2 1 1
Cartesian
0.0000 0.0000 0.0000 Bi
0.0000 2.0990 2.2971 P
2.0990 0.0000 2.2971 P
2.0990 2.0990 2.2971 C
2.0990 2.0990 0.0000 Cl